Arrangement i

Material: CoIBr
Method: DFT, PBE
State: optimized geometry

The structure in POSCAR format:
```
CoIBr
1.0
-3.535 4.957 3.560
-6.953 1.971 -2.484
-6.312 -2.179 3.595
Co I Br
2 2 2
Direct
0.374 0.350 0.873 Co
0.047 0.350 0.873 Co
0.031 0.695 0.880 I
0.384 0.338 0.532 I
0.218 0.058 0.164 Br
0.711 0.317 0.908 Br
```

Output
D(E_F)	7.5	states/eV/cell
calculated density	3.00	g cm⁻³
M_tot	6.0	μB per cell

Arrangement ii

Material: CoIBr
Method: DFT, PBE
State: optimized geometry

The structure in POSCAR format:
```
CoIBr
1.0
-2.861 -1.175 2.315
4.294 -1.749 4.420
-0.996 7.105 2.373
Co I Br
2 2 2
Direct
0.750 0.275 0.500 Co
0.250 0.725 0.500 Co
0.750 0.624 0.730 I
0.250 0.376 0.270 I
0.750 0.882 0.324 Br
0.250 0.118 0.676 Br
```

Output
D(E_F)	2.7	states/eV/cell
calculated density	4.76	g cm⁻³
M_tot	6.0	μB per cell

Most favorable structure: arrangement ii. The second most favorable one is 51 meV/atom above it.

Arrangement i

Material: CoIBr3
Method: DFT, PBE
State: optimized geometry

The structure in POSCAR format:
```
CoIBr3
1.0
5.789 0.000 0.000
0.000 5.789 0.000
0.000 0.000 5.789
I Co Br
1 1 3
Direct
0.000 0.000 0.000 I
0.500 0.500 0.500 Co
0.000 0.500 0.000 Br
0.000 0.000 0.500 Br
0.500 0.000 0.000 Br
```

Output
D(E_F)	55.8	states/eV/cell
calculated density	3.64	g cm⁻³
M_tot	3.2	μB per cell

Arrangement ii

Material: CoIBr3
Method: DFT, PBE
State: optimized geometry

The structure in POSCAR format:
```
CoIBr3
1.0
7.503 -0.118 -0.737
3.681 6.346 0.024
3.201 -1.865 5.278
Co I Br
2 2 6
Direct
0.234 0.838 0.723 Co
0.193 0.358 0.756 Co
0.945 0.483 0.530 I
0.482 0.714 0.949 I
0.455 0.992 0.503 Br
0.972 0.733 0.976 Br
0.372 0.268 0.003 Br
0.972 0.204 0.976 Br
0.455 0.464 0.503 Br
0.054 0.928 0.476 Br
```

Output
D(E_F)	3.5	states/eV/cell
calculated density	5.16	g cm⁻³
M_tot	0.0	μB per cell

Most favorable structure: arrangement ii. The second most favorable one is 1001 meV/atom above it.

Arrangement i

Material: CoI3Br
Method: DFT, PBE
State: optimized geometry

The structure in POSCAR format:
```
CoI3Br
1.0
-0.177 5.020 3.133
2.180 -2.859 4.704
5.501 1.294 -1.763
I Co Br
3 1 1
Direct
0.000 0.500 0.000 I
0.000 0.000 0.500 I
0.500 0.000 0.000 I
0.500 0.500 0.500 Co
0.000 0.000 0.000 Br
```

Output
D(E_F)	12.5	states/eV/cell
calculated density	4.16	g cm⁻³
M_tot	2.5	μB per cell

Arrangement ii

Material: CoI3Br
Method: DFT, PBE
State: optimized geometry

The structure in POSCAR format:
```
CoI3Br
1.0
-1.321 -1.064 -3.693
6.158 -3.667 -5.833
-1.346 -10.477 2.805
Co I Br
2 6 2
Direct
0.095 0.339 0.682 Co
0.593 0.421 0.377 Co
0.317 0.271 0.267 I
0.449 0.639 0.191 I
0.239 0.122 0.868 I
0.803 0.197 0.566 I
0.371 0.490 0.792 I
0.885 0.563 0.493 I
0.900 0.943 0.241 Br
0.788 0.818 0.818 Br
```

Output
D(E_F)	0.4	states/eV/cell
calculated density	4.78	g cm⁻³
M_tot	2.0	μB per cell

Arrangement iii

Material: CoI3Br
Method: DFT, PBE
State: optimized geometry

The structure in POSCAR format:
```
CoI3Br
1.0
5.311 0.000 0.000
0.000 5.311 0.000
0.000 0.000 5.311
I Co Br
3 1 1
Direct
0.000 0.500 0.000 I
0.000 0.000 0.500 I
0.500 0.000 0.000 I
0.000 0.000 0.000 Co
0.500 0.500 0.500 Br
```

Output
D(E_F)	8.1	states/eV/cell
calculated density	5.76	g cm⁻³
M_tot	2.4	μB per cell

Most favorable structure: arrangement ii. The second most favorable one is 301 meV/atom above it.